1.
Density functional theory data (PBE) for a relaxed Sr2GeSbSe5 crystal.

Its uncorrected formation energy is -1.0476 eV/atom.

The space group is Cmc2_1 (No. 36) and the conventional cell measures 4.412, 18.322 and 12.644 Å, with angles of 90.00, 90.00 and 90.00 degrees. The inequivalent atoms are Sr at (0.000, 0.116, 0.000), Sr at (0.000, 0.122, 0.643), Ge at (0.000, 0.447, 0.747), Sb at (0.000, 0.206, 0.348), Se at (0.000, 0.028, 0.331), Se at (0.000, 0.288, 0.994), Se at (0.000, 0.319, 0.684), Se at (0.000, 0.351, 0.322) and Se at (0.000, 0.495, 0.074).


2.
Density functional theory data (PBE) for a relaxed BeIn2Os crystal.

The raw total energy comes out at -36.38 eV for the cell shown.

The space group is Cmmm (No. 65) and the conventional cell measures 5.755, 7.265 and 3.230 Å, with angles of 90.00, 90.00 and 90.00 degrees. The inequivalent atoms are Be at (0.000, 0.000, 0.000), In at (0.250, 0.250, 0.500) and Os at (0.000, 0.500, 0.000).